First-principles (GGA-PBE) data for a relaxed MgCr2Ru crystal, as listed in Alexandria.

The value obtained for the magnetization is 7.564 μB/cell. The space group is No. 216. The formation energy is 0.803 eV/f.u.

Cell: 6.0790 6.0790 6.0790 Å, 90.00 90.00 90.00°
Fractional positions:
Mg: 0.0000 0.0000 0.0000
Mg: 0.0000 0.5000 0.5000
Mg: 0.5000 0.0000 0.5000
Mg: 0.5000 0.5000 0.0000
Cr: 0.0000 0.0000 0.5000
Cr: 0.0000 0.5000 0.0000
Cr: 0.2500 0.2500 0.2500
Cr: 0.2500 0.7500 0.7500
Cr: 0.5000 0.0000 0.0000
Cr: 0.5000 0.5000 0.5000
Cr: 0.7500 0.2500 0.7500
Cr: 0.7500 0.7500 0.2500
Ru: 0.2500 0.2500 0.7500
Ru: 0.2500 0.7500 0.2500
Ru: 0.7500 0.2500 0.2500
Ru: 0.7500 0.7500 0.7500